Density functional theory data (SCAN) for a crystal of Re2AgW relaxed with PBEsol.

Geometry as extended XYZ:
```
4
Lattice="2.7540 0.0000 0.0000 0.0000 4.0020 0.0000 0.0000 0.0000 5.5461" Properties=species:S:1:pos:R:3 pbc="T T T"
Re 0.0000 0.0000 0.0000
Re 1.3770 2.0010 1.2170
Ag 1.3770 2.0010 4.0350
W 0.0000 0.0000 2.5644
```

Calculated values
- E_form: 0.43 eV per atom
- Energy relative to the lowest polymorph listed for this composition: 0.000 eV/atom
- Magnetization: 0.000 μB per atom


Density functional theory data (SCAN) for a crystal of Li3IrF relaxed with PBEsol.

Geometry as extended XYZ:
```
5
Lattice="3.8562 0.0000 0.0000 0.0000 3.8562 0.0000 0.0000 0.0000 3.8562" Properties=species:S:1:pos:R:3 pbc="T T T"
Li 0.0000 0.0000 1.9281
Li 0.0000 1.9281 0.0000
Li 1.9281 0.0000 0.0000
Ir 1.9281 1.9281 1.9281
F 0.0000 0.0000 0.0000
```

Calculated values
- Magnetization: 0.095 μB per atom
- Raw formation energy: -0.894 eV per atom


Density functional theory data (SCAN) for a crystal of CaFe2As2 relaxed with PBEsol.

Geometry as extended XYZ:
```
5
Lattice="-1.9662 1.9662 5.0928 1.9662 -1.9662 5.0928 1.9662 1.9662 -5.0928" Properties=species:S:1:pos:R:3 pbc="T T T"
Ca 0.0000 0.0000 0.0000
Fe 1.9662 0.0000 2.5464
Fe 0.0000 1.9662 2.5464
As 0.0000 0.0000 3.6985
As 0.0000 0.0000 6.4872
```

Calculated values
- E_form: -0.48 eV per atom
- Magnetization: 0.000 μB per atom


Q: The highest magnetization belongs to which entry?
A: Li3IrF